This record from Alexandria describes an optimized crystal structure of Dy2CuSe4. The functional is PBE.

Geometry as POSCAR:
```
Dy2CuSe4
1.0
7.033 0.000 0.000
0.000 5.788 0.000
-2.313 0.000 7.742
Dy Cu Se
4 2 8
direct
0.227 0.250 0.430 Dy
0.241 0.250 0.935 Dy
0.759 0.750 0.065 Dy
0.773 0.750 0.570 Dy
0.235 0.750 0.683 Cu
0.765 0.250 0.317 Cu
0.069 0.750 0.383 Se
0.072 0.750 0.902 Se
0.484 0.509 0.247 Se
0.484 0.991 0.247 Se
0.516 0.009 0.753 Se
0.516 0.491 0.753 Se
0.928 0.250 0.098 Se
0.931 0.250 0.617 Se
```

Computed properties:
* DOS(E_F): 0.191 states/eV per atom
* calculated volume: 315.1 Å³ per cell
* VASP energy: -5.21 eV/atom
* crystal system: monoclinic
* theoretical density: 7.42 g cm⁻³
* formation energy from raw total energies: -1.319 eV per atom